# 1
The following is a PBE-GGA calculation of a relaxed structure of Hf2RePt, from the Alexandria database.

Properties
density	16.1	g/cm3
VASP energy	-36.903	eV per cell
energy relative to the elements	373	meV/atom

Lattice parameters (Å, degrees): 5.995 5.995 5.995 58.39 152.57 129.53
Atoms (fractional coordinates):
Pt: 0.000 0.500 0.500
Hf: 0.000 0.251 0.251
Re: 0.000 0.000 0.000
Hf: 0.000 0.749 0.749

# 2
The following is a PBE-GGA calculation of a relaxed structure of HfRePt3, from the Alexandria database.

Properties
ΔE to the lowest computed polymorph	0.0	kJ per mole of atoms
density	14.3	g/cm3
VASP energy	-36.026	eV per cell
energy relative to the elements	900	meV/atom

Lattice parameters (Å, degrees): 4.791 4.791 4.791 90.00 90.00 90.00
Atoms (fractional coordinates):
Pt: 0.000 0.500 0.000
Re: 0.000 0.000 0.000
Hf: 0.500 0.500 0.500
Pt: 0.000 0.000 0.500
Pt: 0.500 0.000 0.000

# 3
The following is a PBE-GGA calculation of a relaxed structure of Hf4Re2Pt, from the Alexandria database.

Properties
density	15.4	g/cm3
VASP energy	-73.530	eV per cell
energy relative to the elements	-397	meV/atom

Lattice parameters (Å, degrees): 5.637 5.637 5.637 108.67 109.87 109.87
Atoms (fractional coordinates):
Pt: 0.000 0.000 0.000
Hf: 0.000 0.500 0.000
Hf: 0.000 0.000 0.500
Hf: 0.500 0.500 0.500
Hf: 0.500 0.000 0.000
Re: 0.500 0.500 0.000
Re: 0.500 0.000 0.500

# 4
The following is a PBE-GGA calculation of a relaxed structure of HfTiRePt, from the Alexandria database.

Properties
density	15.1	g/cm3
VASP energy	-38.943	eV per cell
energy relative to the elements	-651	meV/atom

Lattice parameters (Å, degrees): 4.553 4.553 4.553 60.00 60.00 60.00
Atoms (fractional coordinates):
Hf: 0.000 0.000 0.000
Pt: 0.750 0.750 0.750
Ti: 0.500 0.500 0.500
Re: 0.250 0.250 0.250

# 5
The following is a PBE-GGA calculation of a relaxed structure of HfPt3Rh4, from the Alexandria database.

Properties
density	14.7	g/cm3
VASP energy	-57.957	eV per cell
energy relative to the elements	-59	meV/atom

Lattice parameters (Å, degrees): 2.859 7.146 7.535 118.31 100.94 90.00
Atoms (fractional coordinates):
Rh: 0.351 0.165 0.702
Rh: 0.649 0.463 0.298
Rh: 0.351 0.537 0.702
Pt: 0.829 0.829 0.658
Rh: 0.649 0.835 0.298
Hf: 0.500 0.000 0.000
Pt: 0.000 0.500 0.000
Pt: 0.171 0.171 0.342

# 6
The following is a PBE-GGA calculation of a relaxed structure of Hf2PtRh3, from the Alexandria database.

Properties
density	13.2	g/cm3
VASP energy	-206.065	eV per cell
energy relative to the elements	-586	meV/atom

Lattice parameters (Å, degrees): 8.439 8.439 8.512 119.72 119.72 90.00
Atoms (fractional coordinates):
Rh: 0.125 0.875 0.750
Rh: 0.286 0.286 0.000
Hf: 0.301 0.100 0.200
Hf: 0.350 0.051 0.700
Rh: 0.964 0.464 0.500
Hf: 0.899 0.100 0.200
Rh: 0.536 0.036 0.500
Rh: 0.286 0.714 0.000
Rh: 0.964 0.036 0.500
Hf: 0.350 0.649 0.700
Pt: 0.533 0.033 0.067
Pt: 0.967 0.467 0.933
Pt: 0.717 0.717 0.433
Hf: 0.900 0.101 0.800
Rh: 0.714 0.714 0.000
Hf: 0.949 0.650 0.300
Hf: 0.351 0.650 0.300
Hf: 0.900 0.699 0.800
Rh: 0.714 0.286 0.000
Pt: 0.283 0.283 0.567
Rh: 0.625 0.875 0.750
Rh: 0.536 0.464 0.500
Rh: 0.125 0.875 0.250
Rh: 0.125 0.375 0.250

# 7
The following is a PBE-GGA calculation of a relaxed structure of Hf7Pt2Rh2, from the Alexandria database.

Properties
ΔE to the lowest computed polymorph	0.0	kJ per mole of atoms
density	13.8	g/cm3
VASP energy	-103.839	eV per cell
energy relative to the elements	-671	meV/atom

Lattice parameters (Å, degrees): 3.391 8.634 8.634 64.54 78.68 78.68
Atoms (fractional coordinates):
Rh: 0.734 0.854 0.677
Hf: 0.500 0.019 0.981
Pt: 0.500 0.374 0.626
Rh: 0.266 0.323 0.146
Hf: 0.185 0.705 0.926
Hf: 0.815 0.074 0.295
Pt: 0.000 0.772 0.228
Hf: 0.128 0.129 0.616
Hf: 0.617 0.493 0.273
Hf: 0.872 0.384 0.871
Hf: 0.383 0.727 0.507

# 8
The following is a PBE-GGA calculation of a relaxed structure of HfPtRh2, from the Alexandria database.

Properties
density	14.9	g/cm3
VASP energy	-33.059	eV per cell
energy relative to the elements	-590	meV/atom

Lattice parameters (Å, degrees): 4.499 4.499 4.499 60.00 60.00 60.00
Atoms (fractional coordinates):
Pt: 0.500 0.500 0.500
Rh: 0.750 0.750 0.750
Hf: 0.000 0.000 0.000
Rh: 0.250 0.250 0.250

# 9
The following is a PBE-GGA calculation of a relaxed structure of HfPt4Rh2, from the Alexandria database.

Properties
density	16.6	g/cm3
VASP energy	-102.114	eV per cell
energy relative to the elements	-320	meV/atom

Lattice parameters (Å, degrees): 4.849 4.849 10.948 98.22 98.22 110.74
Atoms (fractional coordinates):
Pt: 0.446 0.220 0.686
Pt: 0.010 0.284 0.814
Hf: 0.742 0.242 0.500
Rh: 0.880 0.171 0.048
Pt: 0.534 0.760 0.314
Pt: 0.041 0.292 0.314
Pt: 0.977 0.728 0.186
Hf: 0.492 0.492 0.000
Pt: 0.470 0.196 0.186
Rh: 0.421 0.630 0.548
Pt: 0.542 0.791 0.814
Rh: 0.123 0.832 0.952
Rh: 0.082 0.873 0.452
Pt: 0.978 0.727 0.686

# 10
The following is a PBE-GGA calculation of a relaxed structure of Hf6PtRh2, from the Alexandria database.

Properties
density	13.4	g/cm3
VASP energy	-170.130	eV per cell
energy relative to the elements	-511	meV/atom

Lattice parameters (Å, degrees): 5.625 7.212 8.970 90.00 88.92 90.00
Atoms (fractional coordinates):
Rh: 0.105 0.593 0.211
Hf: 0.353 0.763 0.425
Hf: 0.147 0.263 0.075
Hf: 0.681 0.428 0.261
Hf: 0.853 0.737 0.925
Pt: 0.500 0.500 0.000
Hf: 0.647 0.237 0.575
Hf: 0.833 0.644 0.544
Hf: 0.319 0.572 0.739
Hf: 0.167 0.356 0.456
Rh: 0.605 0.907 0.711
Hf: 0.333 0.856 0.044
Rh: 0.395 0.093 0.289
Hf: 0.181 0.072 0.761
Pt: 0.000 0.000 0.500
Hf: 0.667 0.144 0.956
Hf: 0.819 0.928 0.239
Rh: 0.895 0.407 0.789

# 11
The following is a PBE-GGA calculation of a relaxed structure of HfPt6Rh2, from the Alexandria database.

Properties
density	17.7	g/cm3
VASP energy	-127.413	eV per cell
energy relative to the elements	-312	meV/atom

Lattice parameters (Å, degrees): 5.147 9.110 9.110 45.01 103.38 103.38
Atoms (fractional coordinates):
Pt: 0.895 0.963 0.375
Rh: 0.595 0.187 0.348
Pt: 0.395 0.375 0.963
Pt: 0.605 0.625 0.037
Pt: 0.429 0.415 0.418
Pt: 0.929 0.418 0.415
Hf: 0.750 0.813 0.187
Pt: 0.669 0.052 0.763
Pt: 0.571 0.585 0.582
Pt: 0.169 0.763 0.052
Pt: 0.331 0.948 0.237
Hf: 0.250 0.187 0.813
Pt: 0.831 0.237 0.948
Rh: 0.095 0.348 0.187
Rh: 0.405 0.813 0.652
Rh: 0.905 0.652 0.813
Pt: 0.105 0.037 0.625
Pt: 0.071 0.582 0.585

# 12
The following is a PBE-GGA calculation of a relaxed structure of Hf3PtRh2, from the Alexandria database.

Properties
density	14.4	g/cm3
VASP energy	-112.043	eV per cell
energy relative to the elements	-903	meV/atom

Lattice parameters (Å, degrees): 3.350 4.629 13.924 90.00 90.00 90.00
Atoms (fractional coordinates):
Pt: 0.924 0.500 0.500
Hf: 0.523 0.500 0.000
Rh: 0.046 0.000 0.331
Hf: 0.477 0.000 0.500
Rh: 0.954 0.500 0.831
Hf: 0.490 0.500 0.668
Pt: 0.076 0.000 0.000
Rh: 0.046 0.000 0.669
Hf: 0.490 0.500 0.332
Hf: 0.510 0.000 0.168
Hf: 0.510 0.000 0.832
Rh: 0.954 0.500 0.169